# 1
Material: GaNiAu
Method: DFT, GGA-PBE
State: optimized geometry

Structure (POSCAR):
```
GaNiAu
1.0
4.145 0.000 0.000
2.073 3.590 0.000
2.073 1.197 3.384
Au Ni Ga
1 1 1
direct
0.500 0.500 0.500
0.250 0.250 0.250
0.000 0.000 0.000
```

Its space group is No. 216. Its energy of formation from the pure elements is -76 meV per atom. The density of states at the Fermi level comes out at 0.706 states/eV per atom. The calculated volume comes out at 50.36 Å³/cell.

# 2
Material: La5Ge2Ir
Method: DFT, GGA-PBE
State: optimized geometry

Structure (POSCAR):
```
La5Ge2Ir
1.0
4.628 0.000 0.000
0.000 8.068 0.000
0.000 0.000 12.540
Ir Ge La
2 4 10
direct
0.000 0.000 0.000
0.000 0.500 0.500
0.500 0.571 0.169
0.500 0.429 0.831
0.500 0.071 0.331
0.500 0.929 0.669
0.500 0.690 0.431
0.000 0.500 0.000
0.500 0.810 0.931
0.000 0.350 0.291
0.000 0.150 0.791
0.000 0.850 0.209
0.000 0.000 0.500
0.500 0.190 0.069
0.000 0.650 0.709
0.500 0.310 0.569
```

Its space group is No. 55. Its energy of formation from the pure elements is -741 meV per atom. The density of states at the Fermi level comes out at 1.119 states/eV per atom. The calculated volume comes out at 468.26 Å³/cell.

# 3
Material: NaCaDyCl6
Method: DFT, GGA-PBE
State: optimized geometry

Structure (POSCAR):
```
NaCaDyCl6
1.0
6.983 0.000 0.000
-3.491 6.047 0.000
0.000 0.000 12.420
Cl Na Ca Dy
12 2 2 2
direct
0.347 0.358 0.869
0.989 0.347 0.131
0.011 0.358 0.631
0.347 0.989 0.631
0.642 0.989 0.869
0.358 0.347 0.369
0.653 0.011 0.369
0.358 0.011 0.131
0.653 0.642 0.131
0.989 0.642 0.369
0.642 0.653 0.631
0.011 0.653 0.869
0.000 0.000 0.500
0.000 0.000 0.000
0.667 0.333 0.750
0.333 0.667 0.250
0.333 0.667 0.750
0.667 0.333 0.250
```

Its space group is No. 163. The uncorrected formation energy is -2224 meV per atom. The density of states at the Fermi level comes out at 0.000 states/eV per atom. The calculated volume comes out at 524.45 Å³/cell.

Which value of calculated volume does entry 2 give?
468.26 Å³/cell

What is the formula in the third record?
NaCaDyCl6

Repeat the first record exactly.
Material: GaNiAu
Method: DFT, GGA-PBE
State: optimized geometry

Structure (POSCAR):
```
GaNiAu
1.0
4.145 0.000 0.000
2.073 3.590 0.000
2.073 1.197 3.384
Au Ni Ga
1 1 1
direct
0.500 0.500 0.500
0.250 0.250 0.250
0.000 0.000 0.000
```

Its space group is No. 216. Its energy of formation from the pure elements is -76 meV per atom. The density of states at the Fermi level comes out at 0.706 states/eV per atom. The calculated volume comes out at 50.36 Å³/cell.

Number 1 is which compound?
GaNiAu